Ca3MgHg4 PBE-GGA optimized geometry; energy = -12.608 eV per cell; energy of formation = -3.80 eV/f.u.
1.0
2.6198 1.5125 8.6769
-2.6198 1.5125 8.6769
0.0000 -3.0251 8.6769
Ca Mg Hg
3 1 4
Cartesian
0.0000 0.0000 0.0000 Ca
0.0000 0.0000 6.4173 Ca
0.0000 0.0000 19.6133 Ca
0.0000 0.0000 13.0153 Mg
0.0000 0.0000 3.2602 Hg
0.0000 0.0000 9.8105 Hg
0.0000 0.0000 16.2202 Hg
0.0000 0.0000 22.7705 Hg

***

Ca6Mg5Hg PBE-GGA optimized geometry; energy = -22.237 eV per cell; energy of formation = -1.95 eV/f.u.
1.0
-2.7527 3.9947 8.2768
2.7527 -3.9947 8.2768
2.7527 3.9947 -8.2768
Ca Mg Hg
6 5 1
Cartesian
2.7527 1.9346 -2.6746 Ca
0.0000 1.8822 0.0000 Ca
2.7527 1.9346 2.6746 Ca
0.0000 2.0600 5.6022 Ca
0.0000 6.1072 0.0000 Ca
0.0000 2.0600 10.9514 Ca
0.0000 0.0000 2.9223 Mg
2.7527 0.0000 5.5212 Mg
0.0000 0.0000 8.2768 Mg
0.0000 3.9947 2.7556 Mg
0.0000 0.0000 13.6313 Mg
2.7527 0.0000 0.0000 Hg

***

CaMgHg3 PBE-GGA optimized geometry; energy = -4.917 eV per cell; energy of formation = -0.42 eV/f.u.
1.0
5.2835 0.0000 0.0000
0.0000 5.2835 0.0000
0.0000 0.0000 5.2835
Ca Mg Hg
1 1 3
Cartesian
0.0000 0.0000 0.0000 Ca
2.6417 2.6417 2.6417 Mg
0.0000 2.6417 2.6417 Hg
2.6417 0.0000 2.6417 Hg
2.6417 2.6417 0.0000 Hg

***

CaMg2Hg9 PBE-GGA optimized geometry; energy = -10.065 eV per cell; energy of formation = -2.16 eV/f.u.
1.0
4.6888 0.0000 0.0000
0.0000 4.6888 0.0000
0.0000 0.0000 13.2386
Ca Mg Hg
1 2 9
Cartesian
0.0000 0.0000 0.0000 Ca
0.0000 0.0000 4.5665 Mg
0.0000 0.0000 8.6721 Mg
0.0000 2.3444 2.3489 Hg
0.0000 2.3444 6.6193 Hg
0.0000 2.3444 10.8897 Hg
2.3444 0.0000 2.3489 Hg
2.3444 0.0000 6.6193 Hg
2.3444 0.0000 10.8897 Hg
2.3444 2.3444 0.0000 Hg
2.3444 2.3444 4.4802 Hg
2.3444 2.3444 8.7585 Hg

***

Ca5Mg2Hg PBE-GGA optimized geometry; energy = -29.756 eV per cell; energy of formation = -1.38 eV/f.u.
1.0
7.0318 0.0000 0.0000
0.0000 13.5728 0.0000
0.0000 0.0000 5.4872
Ca Mg Hg
10 4 2
Cartesian
0.0000 0.0000 0.0000 Ca
0.8073 3.7456 0.0000 Ca
1.1624 8.1701 2.7436 Ca
2.3535 1.3837 2.7436 Ca
2.7086 10.5320 0.0000 Ca
3.5159 6.7864 0.0000 Ca
4.3232 3.0408 0.0000 Ca
4.6783 12.1891 2.7436 Ca
5.8694 5.4027 2.7436 Ca
6.2245 9.8272 0.0000 Ca
1.0152 11.6903 2.7436 Mg
2.5007 4.9039 2.7436 Mg
4.5311 8.6690 2.7436 Mg
6.0166 1.8826 2.7436 Mg
0.0000 6.7864 0.0000 Hg
3.5159 0.0000 0.0000 Hg

***

CaMg9Hg3 PBE-GGA optimized geometry; energy = -19.173 eV per cell; energy of formation = -1.91 eV/f.u.
1.0
2.9905 -7.1171 0.0000
2.9905 7.1171 0.0000
-2.8971 0.0000 7.1392
Ca Mg Hg
1 9 3
Cartesian
0.0000 0.0000 0.0000 Ca
-1.4486 0.0000 3.5696 Mg
0.0589 4.5958 4.6633 Mg
0.0964 1.5492 5.6181 Mg
3.0250 4.5958 2.4758 Mg
2.9875 1.5492 1.5210 Mg
0.0964 -1.5492 5.6181 Mg
0.0589 -4.5958 4.6633 Mg
2.9875 -1.5492 1.5210 Mg
3.0250 -4.5958 2.4758 Mg
1.4953 3.5586 0.0000 Hg
1.4953 -3.5586 0.0000 Hg
1.5420 0.0000 3.5696 Hg

***

Ca2Mg3Hg PBE-GGA optimized geometry; energy = -10.528 eV per cell; energy of formation = -1.44 eV/f.u.
1.0
5.3011 -3.0437 0.0000
5.3011 3.0437 0.0000
-3.4637 0.0000 4.9805
Ca Mg Hg
2 3 1
Cartesian
0.0252 0.0000 1.8861 Ca
7.1134 0.0000 3.0944 Ca
2.6506 1.5219 0.0000 Mg
2.6506 -1.5219 0.0000 Mg
5.3011 0.0000 0.0000 Mg
3.5693 0.0000 2.4902 Hg

***

CaMgHg2 PBE-GGA optimized geometry; energy = -5.546 eV per cell; energy of formation = -1.35 eV/f.u.
1.0
3.5799 0.0000 0.0000
0.0000 4.8662 0.0000
-1.7645 0.0000 5.7903
Ca Mg Hg
1 1 2
Cartesian
0.0000 0.0000 0.0000 Ca
0.0107 2.4331 3.5277 Mg
1.7928 2.4331 0.8685 Hg
1.7841 0.0000 2.7479 Hg